# BaGeSN2

A relaxed BaGeSN2 crystal (PBE, Alexandria via LeMat-Bulk).

Cell and atoms, written as extended XYZ:
```
5
Lattice="4.214 0.000 0.000 0.000 4.214 0.000 0.000 0.000 4.911" Properties=species:S:1:pos:R:3 pbc="T T T"
S 0.000 0.000 2.456
Ge 0.000 0.000 0.000
Ba 2.107 2.107 2.456
N 0.000 2.107 0.000
N 2.107 0.000 0.000
```

Values from the calculation:
The value obtained for the total energy is -0.3826 Ry per atom. The space group is No. 123. The calculation puts the magnetization at 0.429 μB/atom.